Entry 1:
First-principles (PBE) data for a relaxed structure of InSbP2, as listed in Alexandria via LeMat-Bulk.

POSCAR file:
```
InSbP2
1.0
2.966 0.000 0.000
0.000 3.923 0.000
-1.297 0.000 7.587
In Sb P
1 1 2
direct
0.000 0.000 0.000
0.000 0.000 0.500
0.121 0.500 0.753
0.879 0.500 0.247
```

Computed properties:
As for the uncorrected formation energy: 0.273 eV per atom. As for the polymorph energy (0 for the lowest one): 229 meV per atom.

Entry 2:
First-principles (PBE) data for a relaxed structure of GeBHOs2, as listed in Alexandria via LeMat-Bulk.

POSCAR file:
```
GeBHOs2
1.0
4.638 0.000 0.000
0.000 4.638 0.000
0.000 0.000 3.727
Ge B H Os
1 1 1 2
direct
0.000 0.000 0.000
0.000 0.000 0.500
0.500 0.500 0.500
0.000 0.500 0.000
0.500 0.000 0.000
```

Entry 3:
First-principles (PBE) data for a relaxed structure of Th6TeIr3Se2, as listed in Alexandria via LeMat-Bulk.

POSCAR file:
```
Th6TeIr3Se2
1.0
9.555 -2.088 0.000
9.555 2.088 0.000
-2.823 0.000 8.425
Th Te Ir Se
6 1 3 2
direct
0.009 0.009 0.224
0.322 0.322 0.435
0.341 0.341 0.901
0.659 0.659 0.099
0.678 0.678 0.565
0.991 0.991 0.776
0.500 0.500 0.500
0.167 0.167 0.330
0.500 0.500 0.000
0.833 0.833 0.670
0.167 0.167 0.833
0.833 0.833 0.167
```

Computed properties:
As for the uncorrected formation energy: -1.244 eV per atom.

Entry 4:
First-principles (PBE) data for a relaxed structure of DyPa2SiN5, as listed in Alexandria via LeMat-Bulk.

POSCAR file:
```
DyPa2SiN5
1.0
6.563 0.000 0.000
0.000 6.563 0.000
0.000 0.000 5.490
Dy Pa Si N
2 4 2 10
direct
0.000 0.000 0.000
0.500 0.500 0.000
0.177 0.323 0.500
0.323 0.823 0.500
0.677 0.177 0.500
0.823 0.677 0.500
0.000 0.500 0.000
0.500 0.000 0.000
0.000 0.000 0.500
0.140 0.640 0.234
0.140 0.640 0.766
0.360 0.140 0.234
0.360 0.140 0.766
0.500 0.500 0.500
0.640 0.860 0.234
0.640 0.860 0.766
0.860 0.360 0.234
0.860 0.360 0.766
```

Computed properties:
As for the uncorrected formation energy: -1.236 eV per atom.

Entry 5:
First-principles (PBE) data for a relaxed structure of CrCCl2, as listed in Alexandria via LeMat-Bulk.

POSCAR file:
```
CrCCl2
1.0
1.757 1.014 7.477
-1.757 1.014 7.477
0.000 -2.029 7.477
Cr C Cl
1 1 2
direct
0.000 0.000 0.000
0.500 0.500 0.500
0.399 0.399 0.399
0.601 0.601 0.601
```

Computed properties:
As for the uncorrected formation energy: 1.189 eV per atom. As for the polymorph energy (0 for the lowest one): 0 meV per atom.

Entry 6:
First-principles (PBE) data for a relaxed structure of Tm2ZnGe3Pt4, as listed in Alexandria via LeMat-Bulk.

POSCAR file:
```
Tm2ZnGe3Pt4
1.0
4.112 0.000 0.000
0.000 4.112 0.000
0.000 0.000 10.862
Tm Zn Ge Pt
2 1 3 4
direct
0.000 0.500 0.247
0.500 0.000 0.753
0.500 0.500 0.000
0.000 0.000 0.000
0.000 0.500 0.637
0.500 0.000 0.363
0.000 0.000 0.500
0.000 0.500 0.857
0.500 0.000 0.143
0.500 0.500 0.500
```

Computed properties:
The formation energy comes out at -0.85 eV/atom.

| no. | magnetic moment (μB per formula unit) | electronic total energy (eV per atom) |
| --- | --- | --- |
| 1 | 0.0 | -4.147 |
| 2 | 1.8 | -4.902 |
| 3 | 0.0 | -8.012 |
| 4 | 0.0 | -9.085 |
| 5 | 4.7 | -4.446 |
| 6 | 0.0 | -5.668 |